No. 1
First-principles (PBE) data for a geometry-optimized Y6InGa2 structure, as listed in Alexandria via LeMat-Bulk.

Properties
Excess energy over the best structure of this formula in the dataset = 0 meV/atom
Space group = Immm, No. 71
Formation enthalpy at 0 K = -45.0 kJ per mole of atoms

Cell: 8.678 8.678 8.678 Å, 104.39 112.00 112.14°
Atoms (fractional coordinates):
1 Y 0.539 0.722 0.817
2 Y 0.461 0.278 0.183
3 Y 0.095 0.278 0.817
4 Y 0.905 0.722 0.183
5 Y 0.799 0.760 0.559
6 Y 0.201 0.240 0.441
7 Y 0.201 0.760 0.961
8 Y 0.799 0.240 0.039
9 Y 0.702 0.381 0.679
10 Y 0.298 0.619 0.321
11 Y 0.298 0.978 0.679
12 Y 0.702 0.022 0.321
13 In 0.000 0.500 0.500
14 In 0.000 0.000 0.000
15 Ga 0.500 0.380 0.880
16 Ga 0.500 0.620 0.120
17 Ga 0.649 0.000 0.649
18 Ga 0.351 0.000 0.351

---

No. 2
First-principles (PBE) data for a geometry-optimized Ba5Nb3O3F20 structure, as listed in Alexandria via LeMat-Bulk.

Properties
Space group = P6_3/m, No. 176
Formation energy (no corrections) = -3345 meV/atom

Cell: 8.024 12.074 12.074 Å, 120.00 90.00 90.00°
Last column: magnetic moment on the atom in μB.
Atoms (fractional coordinates):
1 Ba 0.750 0.552 0.910  0.00
2 Ba 0.750 0.358 0.448  0.00
3 Ba 0.750 0.090 0.642  0.00
4 Ba 0.250 0.448 0.090  0.00
5 Ba 0.250 0.642 0.552  0.00
6 Ba 0.250 0.910 0.358  0.00
7 Ba 0.750 0.667 0.333  0.01
8 Ba 0.250 0.333 0.667  0.01
9 Ba 0.000 0.000 0.000  0.00
10 Ba 0.500 0.000 0.000  0.00
11 Nb 0.750 0.331 0.049  -0.01
12 Nb 0.750 0.718 0.669  -0.01
13 Nb 0.750 0.951 0.282  -0.01
14 Nb 0.250 0.669 0.951  -0.01
15 Nb 0.250 0.282 0.331  -0.01
16 Nb 0.250 0.049 0.718  -0.01
17 O 0.750 0.111 0.414  0.06
18 O 0.750 0.303 0.889  0.06
19 O 0.750 0.586 0.697  0.06
20 O 0.250 0.889 0.586  0.06
21 O 0.250 0.697 0.111  0.06
22 O 0.250 0.414 0.303  0.06
23 F 0.750 0.842 0.590  0.00
24 F 0.750 0.749 0.158  0.00
25 F 0.750 0.410 0.251  0.00
26 F 0.250 0.158 0.410  0.00
27 F 0.250 0.251 0.842  0.00
28 F 0.250 0.590 0.749  0.00
29 F 0.902 0.494 0.104  0.01
30 F 0.902 0.610 0.506  0.01
31 F 0.902 0.896 0.390  0.01
32 F 0.402 0.506 0.896  0.01
33 F 0.402 0.390 0.494  0.01
34 F 0.402 0.104 0.610  0.01
35 F 0.098 0.506 0.896  0.01
36 F 0.098 0.390 0.494  0.01
37 F 0.098 0.104 0.610  0.01
38 F 0.598 0.494 0.104  0.01
39 F 0.598 0.610 0.506  0.01
40 F 0.598 0.896 0.390  0.01
41 F 0.126 0.667 0.333  0.45
42 F 0.626 0.333 0.667  0.45
43 F 0.874 0.333 0.667  0.45
44 F 0.374 0.667 0.333  0.45
45 F 0.510 0.280 0.056  0.01
46 F 0.510 0.777 0.720  0.01
47 F 0.510 0.944 0.223  0.01
48 F 0.010 0.720 0.944  0.01
49 F 0.010 0.223 0.280  0.01
50 F 0.010 0.056 0.777  0.01
51 F 0.490 0.720 0.944  0.01
52 F 0.490 0.223 0.280  0.01
53 F 0.490 0.056 0.777  0.01
54 F 0.990 0.280 0.056  0.01
55 F 0.990 0.777 0.720  0.01
56 F 0.990 0.944 0.223  0.01
57 F 0.750 0.142 0.000  0.00
58 F 0.750 0.858 0.858  0.00
59 F 0.750 0.000 0.142  0.00
60 F 0.250 0.858 0.000  0.00
61 F 0.250 0.142 0.142  0.00
62 F 0.250 0.000 0.858  0.00

---

No. 3
First-principles (PBE) data for a geometry-optimized PrTm5Sn4 structure, as listed in Alexandria via LeMat-Bulk.

Properties
Space group = C2/m, No. 12
Formation enthalpy at 0 K = -36.8 kJ per mole of atoms

Cell: 4.495 7.881 9.110 Å, 102.23 104.29 90.00°
Atoms (fractional coordinates):
1 Pr 0.500 0.000 0.000
2 Tm 0.791 0.688 0.582
3 Tm 0.861 0.277 0.722
4 Tm 0.139 0.723 0.278
5 Tm 0.500 0.500 0.000
6 Tm 0.209 0.312 0.418
7 Sn 0.311 0.986 0.621
8 Sn 0.961 0.710 0.921
9 Sn 0.689 0.014 0.379
10 Sn 0.039 0.290 0.079

---

No. 4
First-principles (PBE) data for a geometry-optimized CrMoBr structure, as listed in Alexandria via LeMat-Bulk.

Properties
Excess energy over the best structure of this formula in the dataset = 280 meV/atom
Space group = R3m, No. 160
Formation energy (no corrections) = 397 meV/atom

Cell: 3.199 3.199 18.429 Å, 90.00 90.00 120.00°
Atoms (fractional coordinates):
1 Cr 0.000 0.000 0.317
2 Cr 0.333 0.667 0.984
3 Cr 0.667 0.333 0.651
4 Mo 0.000 0.000 0.732
5 Mo 0.333 0.667 0.399
6 Mo 0.667 0.333 0.066
7 Br 0.000 0.000 0.879
8 Br 0.333 0.667 0.546
9 Br 0.667 0.333 0.213

---

No. 5
First-principles (PBE) data for a geometry-optimized Sm3HoS4 structure, as listed in Alexandria via LeMat-Bulk.

Properties
Excess energy over the best structure of this formula in the dataset = 0 meV/atom
Space group = R-3m, No. 166
Formation energy (no corrections) = -2020 meV/atom

Cell: 13.173 13.173 13.173 Å, 17.38 17.38 17.38°
Atoms (fractional coordinates):
1 S 0.372 0.372 0.372
2 S 0.124 0.124 0.124
3 S 0.628 0.628 0.628
4 S 0.876 0.876 0.876
5 Ho 0.000 0.000 0.000
6 Sm 0.251 0.251 0.251
7 Sm 0.500 0.500 0.500
8 Sm 0.749 0.749 0.749

---

No. 6
First-principles (PBE) data for a geometry-optimized TcBSe2N structure, as listed in Alexandria via LeMat-Bulk.

Properties
Excess energy over the best structure of this formula in the dataset = 0 meV/atom
Space group = P4/mmm, No. 123
Formation energy (no corrections) = 573 meV/atom

Cell: 5.138 5.138 2.712 Å, 90.00 90.00 90.00°
Atoms (fractional coordinates):
1 B 0.000 0.000 0.000
2 Tc 0.500 0.500 0.500
3 Se 0.000 0.500 0.000
4 Se 0.500 0.000 0.000
5 N 0.000 0.000 0.500

---

Question: Which formula does entry 1 have?
Answer: Y6InGa2

---

What did the third record say?
First-principles (PBE) data for a geometry-optimized PrTm5Sn4 structure, as listed in Alexandria via LeMat-Bulk.

Properties
Space group = C2/m, No. 12
Formation enthalpy at 0 K = -36.8 kJ per mole of atoms

Cell: 4.495 7.881 9.110 Å, 102.23 104.29 90.00°
Atoms (fractional coordinates):
1 Pr 0.500 0.000 0.000
2 Tm 0.791 0.688 0.582
3 Tm 0.861 0.277 0.722
4 Tm 0.139 0.723 0.278
5 Tm 0.500 0.500 0.000
6 Tm 0.209 0.312 0.418
7 Sn 0.311 0.986 0.621
8 Sn 0.961 0.710 0.921
9 Sn 0.689 0.014 0.379
10 Sn 0.039 0.290 0.079